Record 1
The following is a GGA+U calculation of a relaxed structure of NiAsO2, from the Alexandria database.

Computed properties:
Uncorrected energy: -5.067 eV per atom

Cell: 5.202 4.078 5.889 Å, 80.66 69.63 73.14°
Fractional positions:
Ni 0.920 0.146 0.820
Ni 0.199 0.952 0.209
O 0.573 0.337 0.699
O 0.234 0.117 0.501
O 0.784 0.077 0.217
O 0.979 0.620 0.837
As 0.489 0.371 0.401
As 0.255 0.482 0.966


Record 2
The following is a GGA+U calculation of a relaxed structure of Ni3AsO, from the Alexandria database.

Computed properties:
Uncorrected energy: -2.427 eV per atom
Polymorph energy (0 for the lowest one): 4.74 eV/f.u.

Cell: 4.511 4.511 4.511 Å, 90.00 90.00 90.00°
Fractional positions:
Ni 0.000 0.500 0.000
Ni 0.500 0.000 0.000
Ni 0.000 0.000 0.500
O 0.500 0.500 0.500
As 0.000 0.000 0.000


Record 3
The following is a GGA+U calculation of a relaxed structure of NiAs2PbO6, from the Alexandria database.

Computed properties:
Uncorrected energy: -5.607 eV per atom

Cell: 7.159 7.158 7.158 Å, 73.83 64.95 64.95°
Fractional positions:
Pb 0.250 0.828 0.172
Pb 0.750 0.172 0.828
Ni 0.750 0.766 0.234
Ni 0.250 0.234 0.766
As 0.826 0.662 0.760
As 0.326 0.760 0.662
As 0.174 0.338 0.240
As 0.674 0.240 0.338
O 0.182 0.981 0.795
O 0.318 0.205 0.019
O 0.428 0.378 0.266
O 0.928 0.266 0.378
O 0.563 0.152 0.602
O 0.063 0.602 0.152
O 0.572 0.622 0.734
O 0.437 0.848 0.398
O 0.818 0.019 0.205
O 0.937 0.398 0.848
O 0.682 0.795 0.981
O 0.072 0.734 0.622


Record 4
The following is a GGA+U calculation of a relaxed structure of NiAs2PdO6, from the Alexandria database.

Computed properties:
Uncorrected energy: -5.501 eV per atom

Cell: 5.874 6.681 6.681 Å, 81.94 75.95 75.95°
Fractional positions:
O 0.692 0.429 0.298
O 0.308 0.571 0.702
O 0.881 0.359 0.849
O 0.161 0.979 0.796
O 0.661 0.796 0.979
O 0.808 0.702 0.571
O 0.619 0.151 0.641
O 0.839 0.021 0.204
O 0.381 0.849 0.359
O 0.119 0.641 0.151
O 0.192 0.298 0.429
O 0.339 0.204 0.021
As 0.841 0.189 0.411
As 0.659 0.589 0.811
As 0.159 0.811 0.589
As 0.341 0.411 0.189
Pd 0.750 0.727 0.273
Pd 0.250 0.273 0.727
Ni 0.250 0.911 0.089
Ni 0.750 0.089 0.911


Question: The lowest uncorrected energy belongs to which entry?
Answer: NiAs2PbO6


Question: What is the formula in the second record?
Answer: Ni3AsO


Question: The highest uncorrected energy belongs to which entry?
Answer: Ni3AsO


Question: What is the uncorrected energy in the second record?
Answer: -2.427 eV per atom